DFT (PBE-GGA) results for a geometry-optimized CaSeCl4 structure.

abc: 5.9779 5.9779 5.9779
angles: 60.00 60.00 60.00
Each line ends with the local moment (μB).
Element x y z (fractional)
Ca 0.0000 0.0000 0.0000  0.01
Se 0.7500 0.7500 0.7500  0.99
Cl 0.8777 0.3741 0.3741  0.50
Cl 0.3741 0.3741 0.8777  0.50
Cl 0.3741 0.8777 0.3741  0.50
Cl 0.3741 0.3741 0.3741  0.50

Output
space group	F-43m, No. 216
DOS at the Fermi energy	0.912	states/eV/atom
total energy	-2.302	eV per atom